Below is a relaxed structure of Ce2Re3Os, with properties calculated at the PBE-GGA level.

Geometry as POSCAR:
```
Ce2Re3Os
1.0
4.5849 -0.1172 -2.5537
-2.8574 4.4005 -0.1662
-0.1331 0.3181 5.6975
Re Os Ce
3 1 2
direct
0.5000 0.0000 0.5000
0.5000 0.5000 0.5000
0.0000 0.0000 0.5000
0.0000 0.0000 0.0000
0.7422 0.3746 0.1169
0.2578 0.6254 0.8831
```

Results
space-group type = C2/m, No. 12
E_tot = -10.1943 eV/atom
crystal system = monoclinic

Below is a relaxed structure of CeReSi2Os, with properties calculated at the PBE-GGA level.

Geometry as POSCAR:
```
CeReSi2Os
1.0
-3.9146 0.8152 1.2307
-1.1923 -3.8025 -1.2739
3.5894 -0.3425 4.5329
Si Os Ce Re
2 1 1 1
direct
0.6258 0.6258 0.2516
0.3742 0.3742 0.7484
0.7500 0.2500 0.5000
0.0000 0.0000 0.0000
0.2500 0.7500 0.5000
```

Results
space-group type = I-4m2, No. 119
uncorrected formation energy = -0.571 eV per atom
E_tot = -8.6627 eV/atom
crystal system = tetragonal

Below is a relaxed structure of Ce8OsRh5, with properties calculated at the PBE-GGA level.

Geometry as POSCAR:
```
Ce8OsRh5
1.0
7.0912 0.0000 -2.4567
-3.5295 6.1232 -2.5240
-0.0323 0.0000 7.5046
Rh Ce Os
5 8 1
direct
0.5000 0.0000 0.5000
0.8795 0.8738 0.2511
0.7489 0.6283 0.6227
0.9944 0.3717 0.1205
0.3773 0.1262 0.0056
0.7466 0.2549 0.3810
0.0124 0.1361 0.7580
0.1238 0.7457 0.9876
0.2420 0.2543 0.3781
0.6219 0.8639 0.8762
0.1261 0.7451 0.4918
0.6190 0.3656 0.8739
0.5082 0.6344 0.2534
0.2500 0.5000 0.7500
```

Results
space-group type = I-4, No. 82
E_tot = -7.4033 eV/atom
crystal system = tetragonal

Below is a relaxed structure of Ce6OsRh2, with properties calculated at the PBE-GGA level.

Geometry as POSCAR:
```
Ce6OsRh2
1.0
-2.1091 2.0549 -4.1120
0.7554 -5.5932 -0.0722
-6.5923 3.5484 5.1546
Ce Rh Os
6 2 1
direct
0.3382 0.6764 0.4998
0.0076 0.0151 0.8318
0.6618 0.3236 0.5002
0.9924 0.9849 0.1682
0.6759 0.3518 0.1665
0.3241 0.6482 0.8335
0.6621 0.3242 0.8253
0.3379 0.6758 0.1747
0.0000 0.0000 0.5000
```

Results
space-group type = C2/m, No. 12
E_tot = -7.2067 eV/atom
crystal system = monoclinic

Below is a relaxed structure of CeOsRh, with properties calculated at the PBE-GGA level.

Geometry as POSCAR:
```
CeOsRh
1.0
-3.6551 1.7600 3.7454
-2.7627 -5.2578 -0.2254
4.1410 -2.3974 5.1677
Ce Rh Os
4 4 4
direct
0.7500 0.6082 0.8546
0.2500 0.1082 0.6454
0.7500 0.8918 0.3546
0.2500 0.3918 0.1454
0.2500 0.8389 0.3073
0.7500 0.3389 0.1927
0.7500 0.1611 0.6927
0.2500 0.6611 0.8073
0.5000 0.0000 0.0000
0.5000 0.5000 0.5000
0.0000 0.0000 0.0000
0.0000 0.5000 0.5000
```

Results
space-group type = Pnma, No. 62
E_tot = -8.4464 eV/atom
crystal system = orthorhombic

Below is a relaxed structure of Ce5OsRh, with properties calculated at the PBE-GGA level.

Geometry as POSCAR:
```
Ce5OsRh
1.0
5.6634 -0.3573 0.1677
1.4579 5.4842 0.1677
2.7846 2.0047 10.7038
Ce Os Rh
10 2 2
direct
0.7614 0.4683 0.4560
0.9508 0.0492 0.7500
0.0492 0.9508 0.2500
0.5317 0.2386 0.0440
0.2386 0.5317 0.5440
0.0817 0.4962 0.8455
0.9183 0.5038 0.1545
0.4683 0.7614 0.9560
0.4962 0.0817 0.3455
0.5038 0.9183 0.6545
0.5873 0.4128 0.7500
0.4128 0.5873 0.2500
0.0000 0.0000 0.0000
0.0000 0.0000 0.5000
```

Results
space-group type = C2/c, No. 15
E_tot = -7.0572 eV/atom
crystal system = monoclinic

Below is a relaxed structure of Ce6Os2Rh, with properties calculated at the PBE-GGA level.

Geometry as POSCAR:
```
Ce6Os2Rh
1.0
-2.1734 -1.1932 4.0596
-2.4744 -1.9281 -4.6784
5.9394 -6.2502 1.3428
Ce Os Rh
6 2 1
direct
0.3178 0.6356 0.4205
0.6117 0.2234 0.1668
0.3883 0.7766 0.8332
0.6822 0.3644 0.5795
0.9462 0.8924 0.1703
0.0538 0.1076 0.8297
0.2717 0.5434 0.1209
0.7283 0.4566 0.8791
0.0000 0.0000 0.5000
```

Results
space-group type = C2/m, No. 12
E_tot = -7.5655 eV/atom
crystal system = monoclinic

Below is a relaxed structure of Ce8OsRh2, with properties calculated at the PBE-GGA level.

Geometry as POSCAR:
```
Ce8OsRh2
1.0
5.6352 0.1499 -0.8853
-1.9559 6.5357 -3.0026
-0.1315 -0.3552 7.4440
Ce Rh Os
8 2 1
direct
0.1556 0.3699 0.3699
0.4179 0.9214 0.7071
0.5820 0.0848 0.2991
0.4179 0.7071 0.9214
0.9999 0.7829 0.2232
0.5820 0.2991 0.0848
0.8444 0.6363 0.6363
0.9999 0.2232 0.7829
0.5001 0.6892 0.3171
0.5001 0.3171 0.6892
0.9999 0.0031 0.0031
```

Results
space-group type = C2/m, No. 12
E_tot = -6.9494 eV/atom
crystal system = monoclinic

Below is a relaxed structure of Ce6OsRh, with properties calculated at the PBE-GGA level.

Geometry as POSCAR:
```
Ce6OsRh
1.0
6.4356 0.0056 0.0046
3.2085 5.5947 -0.0041
3.2043 1.8402 6.4939
Ce Rh Os
6 1 1
direct
0.7497 0.0569 0.7465
0.5513 0.2495 0.2527
0.9442 0.5541 0.2523
0.4487 0.7505 0.7473
0.2503 0.9431 0.2535
0.0558 0.4459 0.7477
0.0000 0.0000 0.0000
0.5000 0.5000 0.5000
```

Results
space-group type = P-1, No. 2
E_tot = -6.8369 eV/atom
crystal system = triclinic

Below is a relaxed structure of Ce6Os3Rh, with properties calculated at the PBE-GGA level.

Geometry as POSCAR:
```
Ce6Os3Rh
1.0
6.8766 0.0000 -0.0417
0.0000 7.3827 0.0000
0.0291 0.0000 9.9304
Os Ce Rh
6 12 2
direct
0.4797 0.1071 0.2466
0.5203 0.8929 0.7534
0.9797 0.3929 0.7466
0.0203 0.6071 0.2534
0.5000 0.5000 0.0000
0.0000 0.0000 0.5000
0.1902 0.0794 0.7491
0.1685 0.3246 0.4257
0.8290 0.6703 0.9268
0.6902 0.4206 0.2491
0.1710 0.3297 0.0732
0.3098 0.5794 0.7509
0.6710 0.1703 0.5732
0.3290 0.8297 0.4268
0.8098 0.9206 0.2509
0.3315 0.8246 0.0743
0.8315 0.6754 0.5743
0.6685 0.1754 0.9257
0.0000 0.0000 0.0000
0.5000 0.5000 0.5000
```

Results
space-group type = P2_1/c, No. 14
E_tot = -7.8656 eV/atom
crystal system = monoclinic

Below is a relaxed structure of Ce6Os2Rh, with properties calculated at the PBE-GGA level.

Geometry as POSCAR:
```
Ce6Os2Rh
1.0
6.3579 0.0000 0.1575
0.0000 7.2479 0.0000
-0.5653 0.0000 9.6765
Os Ce Rh
4 12 2
direct
0.4420 0.1199 0.2735
0.5580 0.8801 0.7265
0.9420 0.3801 0.7735
0.0580 0.6199 0.2265
0.6595 0.1489 0.9431
0.1583 0.0529 0.7638
0.3405 0.8511 0.0569
0.8522 0.6904 0.9298
0.8405 0.6489 0.5569
0.3417 0.5529 0.7362
0.3522 0.8096 0.4298
0.6583 0.4471 0.2638
0.1595 0.3511 0.4431
0.8417 0.9471 0.2362
0.6478 0.1904 0.5702
0.1478 0.3096 0.0702
0.0000 0.0000 0.5000
0.5000 0.5000 0.0000
```

Results
space-group type = P2_1/c, No. 14
E_tot = -7.4885 eV/atom
crystal system = monoclinic

Below is a relaxed structure of Ce3OsRh, with properties calculated at the PBE-GGA level.

Geometry as POSCAR:
```
Ce3OsRh
1.0
3.9649 0.0000 0.0000
0.0000 7.6201 -0.5498
0.0000 -2.2358 7.8528
Rh Ce Os
2 6 2
direct
0.7500 0.0966 0.6256
0.2500 0.9034 0.3744
0.7500 0.0799 0.2326
0.2500 0.9201 0.7674
0.2500 0.3737 0.6124
0.7500 0.6263 0.3876
0.2500 0.6440 0.0429
0.7500 0.3560 0.9571
0.2500 0.3337 0.2255
0.7500 0.6663 0.7745
```

Results
space-group type = P2_1/m, No. 11
E_tot = -7.6352 eV/atom
crystal system = monoclinic

Below is a relaxed structure of Ce4OsRh, with properties calculated at the PBE-GGA level.

Geometry as POSCAR:
```
Ce4OsRh
1.0
5.8205 -0.1970 -1.4311
-2.4098 6.6492 -2.4339
-0.2062 -0.2144 7.4736
Rh Ce Os
2 8 2
direct
0.7500 0.6216 0.3784
0.2500 0.3784 0.6216
0.4114 0.6925 0.0674
0.6894 0.2315 0.3986
0.3106 0.7685 0.6014
0.0886 0.9326 0.3075
0.9114 0.0674 0.6925
0.1894 0.3986 0.2315
0.8106 0.6014 0.7685
0.5886 0.3075 0.9326
0.7500 0.9996 0.0004
0.2500 0.0004 0.9996
```

Results
space-group type = C2/c, No. 15
E_tot = -7.3887 eV/atom
crystal system = monoclinic

Below is a relaxed structure of Ce6OsRh3, with properties calculated at the PBE-GGA level.

Geometry as POSCAR:
```
Ce6OsRh3
1.0
-2.2686 2.9003 1.5445
-9.2229 -5.0748 -4.0168
2.5648 -3.8486 10.9941
Ce Rh Os
12 6 2
direct
0.2500 0.6181 0.9475
0.7500 0.4840 0.6170
0.2500 0.5160 0.3830
0.7500 0.8140 0.7776
0.2500 0.1860 0.2224
0.2500 0.2619 0.7176
0.7500 0.1088 0.4462
0.7500 0.9010 0.1238
0.2500 0.0990 0.8762
0.7500 0.7381 0.2824
0.2500 0.8912 0.5538
0.7500 0.3819 0.0525
0.7500 0.1136 0.0473
0.7500 0.4445 0.8348
0.2500 0.5555 0.1652
0.2500 0.8864 0.9527
0.7500 0.6836 0.5043
0.2500 0.3164 0.4957
0.2500 0.9463 0.3152
0.7500 0.0537 0.6848
```

Results
space-group type = P2_1/m, No. 11
E_tot = -7.3142 eV/atom
crystal system = monoclinic

Below is a relaxed structure of Ce8Os5Rh, with properties calculated at the PBE-GGA level.

Geometry as POSCAR:
```
Ce8Os5Rh
1.0
-3.5299 -0.3250 -6.5797
-1.2426 -6.3212 3.7889
-2.5611 5.8001 3.9570
Ce Os Rh
8 5 1
direct
0.0025 0.1303 0.7580
0.7381 0.2451 0.3680
0.1278 0.7556 0.9975
0.5070 0.6299 0.2619
0.1229 0.7549 0.4930
0.6277 0.8697 0.8722
0.2420 0.2444 0.3723
0.6320 0.3701 0.8771
0.8693 0.8779 0.2487
0.3708 0.1221 0.9914
0.0086 0.3795 0.1307
0.7513 0.6205 0.6292
0.5000 0.0000 0.5000
0.2500 0.5000 0.7500
```

Results
space-group type = I-4, No. 82
E_tot = -8.1682 eV/atom
crystal system = tetragonal

Below is a relaxed structure of Ce4OsRh, with properties calculated at the PBE-GGA level.

Geometry as POSCAR:
```
Ce4OsRh
1.0
-3.4389 4.5198 1.8881
-4.5449 -3.5076 -5.1193
1.6890 -4.1575 6.1621
Os Rh Ce
2 2 8
direct
0.6224 0.3724 0.7448
0.3776 0.6276 0.2552
0.2511 0.0011 0.0022
0.7489 0.9989 0.9978
0.2132 0.3133 0.3725
0.6594 0.0592 0.3725
0.3406 0.9408 0.6275
0.3020 0.5928 0.8371
0.6980 0.4072 0.1629
0.0351 0.2442 0.8371
0.7868 0.6867 0.6275
0.9649 0.7558 0.1629
```

Results
space-group type = C2/c, No. 15
E_tot = -7.3627 eV/atom
crystal system = monoclinic

Below is a relaxed structure of Ce3OsRh, with properties calculated at the PBE-GGA level.

Geometry as POSCAR:
```
Ce3OsRh
1.0
0.0103 7.2106 0.1587
-2.3603 -0.1602 7.4335
7.9654 1.5634 2.5629
Ce Os Rh
12 4 4
direct
0.7040 0.5031 0.4263
0.4655 0.2998 0.1406
0.2960 0.4969 0.5737
0.8502 0.3606 0.7936
0.1498 0.6394 0.2064
0.0345 0.7998 0.8594
0.9655 0.2002 0.1406
0.6498 0.8606 0.2064
0.2040 0.9969 0.4263
0.7960 0.0031 0.5737
0.3502 0.1394 0.7936
0.5345 0.7002 0.8594
0.2048 0.4506 0.9242
0.7952 0.5494 0.0758
0.7048 0.0494 0.9242
0.2952 0.9506 0.0758
0.4628 0.8254 0.5675
0.9628 0.6746 0.5675
0.0372 0.3254 0.4325
0.5372 0.1746 0.4325
```

Results
space-group type = P2_1/c, No. 14
E_tot = -7.6540 eV/atom
crystal system = monoclinic

Below is a relaxed structure of Ce8Os3Rh2, with properties calculated at the PBE-GGA level.

Geometry as POSCAR:
```
Ce8Os3Rh2
1.0
-4.2096 5.2571 0.3037
-5.9894 -4.7388 -0.9890
5.0958 -1.6336 6.9508
Ce Rh Os
8 2 3
direct
0.0353 0.6561 0.3122
0.9808 0.1084 0.2169
0.4687 0.3735 0.2281
0.5313 0.1454 0.7719
0.0192 0.8916 0.7831
0.4687 0.8546 0.2281
0.9647 0.3439 0.6878
0.5313 0.6265 0.7719
0.4595 0.2430 0.4860
0.5405 0.7570 0.5140
0.0000 0.6954 0.0000
0.5000 0.0000 0.0000
0.0000 0.3046 0.0000
```

Results
space-group type = C2/m, No. 12
E_tot = -7.6236 eV/atom
crystal system = monoclinic

Below is a relaxed structure of Ce8OsRh2, with properties calculated at the PBE-GGA level.

Geometry as POSCAR:
```
Ce8OsRh2
1.0
4.6854 0.0000 0.0000
0.0000 6.7628 -0.0791
-2.3427 -3.0846 8.2964
Ce Rh Os
8 2 1
direct
0.6708 0.0308 0.3416
0.9950 0.2424 0.9900
0.4089 0.5085 0.8178
0.0050 0.7576 0.0100
0.8030 0.6909 0.6061
0.3292 0.9692 0.6584
0.1970 0.3091 0.3939
0.5911 0.4915 0.1822
0.1628 0.7496 0.3256
0.8372 0.2504 0.6744
0.5000 0.0000 0.0000
```

Results
space-group type = C2/m, No. 12
E_tot = -6.9625 eV/atom
crystal system = monoclinic

Below is a relaxed structure of Ce5Os2Rh2, with properties calculated at the PBE-GGA level.

Geometry as POSCAR:
```
Ce5Os2Rh2
1.0
6.9769 0.0000 0.0000
0.0000 7.2431 0.0000
-3.4884 -3.6215 8.4232
Rh Os Ce
4 4 10
direct
0.0000 0.9239 0.0000
0.7416 0.8979 0.5000
0.5000 0.4239 0.0000
0.2584 0.3979 0.5000
0.5455 0.1289 0.1588
0.4545 0.9701 0.8412
0.1133 0.6289 0.1588
0.8867 0.4701 0.8412
0.1120 0.1593 0.8595
0.4657 0.5031 0.2995
0.8880 0.2999 0.1405
0.7526 0.7999 0.1405
0.3337 0.0031 0.2995
0.8708 0.2494 0.5000
0.5343 0.2036 0.7005
0.1292 0.7494 0.5000
0.2474 0.6593 0.8595
0.6663 0.7036 0.7005
```

Results
space-group type = Ima2, No. 46
E_tot = -7.7844 eV/atom
crystal system = orthorhombic